[1]
DFT (PBE-GGA) results for an optimized crystal structure of PtRhI2F.

```
PtRhI2F
1.0
5.362 0.000 0.000
0.000 5.100 0.000
0.000 0.000 5.362
I Rh Pt F
2 1 1 1
direct
0.000 0.000 0.500
0.500 0.000 0.000
0.000 0.500 0.000
0.000 0.000 0.000
0.500 0.500 0.500
```

Calculated values
Total magnetization: 3.0 μB/f.u.
Formation energy (no corrections): 2.92 eV per formula unit
VASP energy: -15.4 eV for the cell shown
Crystal system: tetragonal

---

[2]
DFT (PBE-GGA) results for an optimized crystal structure of Sb2PtIF.

```
Sb2PtIF
1.0
4.645 0.000 0.000
0.000 4.645 0.000
0.000 0.000 5.546
I Sb Pt F
1 2 1 1
direct
0.000 0.000 0.500
0.000 0.500 0.000
0.500 0.000 0.000
0.500 0.500 0.500
0.000 0.000 0.000
```

Calculated values
Total magnetization: 0.0 μB/f.u.
Formation energy (no corrections): 1.52 eV per formula unit
VASP energy: -16.2 eV for the cell shown
Distance to the lowest polymorph of the same formula: 1.12 eV per formula unit
Crystal system: tetragonal

---

[3]
DFT (PBE-GGA) results for an optimized crystal structure of Sb2PtIF.

```
Sb2PtIF
1.0
5.201 0.000 0.000
0.000 5.201 0.000
0.000 0.000 5.595
I Sb Pt F
1 2 1 1
direct
0.000 0.000 0.500
0.000 0.500 0.000
0.500 0.000 0.000
0.000 0.000 0.000
0.500 0.500 0.500
```

Calculated values
Total magnetization: 0.0 μB/f.u.
Formation energy (no corrections): 0.39 eV per formula unit
VASP energy: -17.3 eV for the cell shown
Distance to the lowest polymorph of the same formula: 0.00 eV per formula unit
Crystal system: tetragonal

---

[4]
DFT (PBE-GGA) results for an optimized crystal structure of Sr2PtIF.

```
Sr2PtIF
1.0
-4.963 -0.540 -3.453
2.029 -3.674 -2.342
-2.377 -3.876 4.021
I Sr Pt F
1 2 1 1
direct
0.000 0.000 0.000
0.000 0.000 0.500
0.500 0.000 0.000
0.500 0.500 0.500
0.000 0.500 0.000
```

Calculated values
Total magnetization: 0.0 μB/f.u.
Formation energy (no corrections): -3.17 eV per formula unit
VASP energy: -16.0 eV for the cell shown
Crystal system: tetragonal

---

[5]
DFT (PBE-GGA) results for an optimized crystal structure of Te2PtIF.

```
Te2PtIF
1.0
-3.084 1.312 -3.022
-3.054 0.415 3.296
1.892 6.580 0.925
I Te Pt F
1 2 1 1
direct
0.000 0.000 0.500
0.000 0.500 0.000
0.500 0.000 0.000
0.500 0.500 0.500
0.000 0.000 0.000
```

Calculated values
Total magnetization: 0.5 μB/f.u.
Formation energy (no corrections): 2.52 eV per formula unit
VASP energy: -13.2 eV for the cell shown
Distance to the lowest polymorph of the same formula: 1.67 eV per formula unit
Crystal system: tetragonal

---

[6]
DFT (PBE-GGA) results for an optimized crystal structure of Te2PtIF.

```
Te2PtIF
1.0
5.259 0.000 0.000
0.000 5.259 0.000
0.000 0.000 5.525
I Te Pt F
1 2 1 1
direct
0.000 0.000 0.500
0.000 0.500 0.000
0.500 0.000 0.000
0.000 0.000 0.000
0.500 0.500 0.500
```

Calculated values
Total magnetization: 0.0 μB/f.u.
Formation energy (no corrections): 0.85 eV per formula unit
VASP energy: -14.9 eV for the cell shown
Distance to the lowest polymorph of the same formula: 0.00 eV per formula unit
Crystal system: tetragonal

---

[7]
DFT (PBE-GGA) results for an optimized crystal structure of Tl2PtIF.

```
Tl2PtIF
1.0
-2.051 -4.246 -4.666
4.287 -2.450 0.345
-2.606 -3.898 4.692
I Tl Pt F
1 2 1 1
direct
0.000 0.000 0.000
0.000 0.000 0.500
0.500 0.000 0.000
0.000 0.500 0.000
0.500 0.500 0.500
```

Calculated values
Total magnetization: 0.0 μB/f.u.
Formation energy (no corrections): -0.18 eV per formula unit
VASP energy: -14.4 eV for the cell shown
Crystal system: tetragonal

---

[8]
DFT (PBE-GGA) results for an optimized crystal structure of Pu2IF3.

```
Pu2IF3
1.0
4.088 0.000 0.000
-2.044 7.103 -2.936
0.000 0.059 8.527
Pu I F
4 2 6
direct
0.473 0.947 0.775
0.527 0.053 0.225
0.812 0.624 0.344
0.188 0.376 0.656
0.857 0.713 0.943
0.143 0.287 0.057
0.314 0.627 0.546
0.947 0.894 0.610
0.606 0.212 0.688
0.394 0.788 0.312
0.053 0.106 0.390
0.686 0.373 0.454
```

Calculated values
Total magnetization: 12.0 μB/f.u.
Formation energy (no corrections): -15.60 eV per formula unit
VASP energy: -102.9 eV for the cell shown
Crystal system: monoclinic

---

[9]
DFT (PBE-GGA) results for an optimized crystal structure of Pu2I3F.

```
Pu2I3F
1.0
4.100 0.000 0.844
2.117 10.160 0.098
-0.314 -3.024 11.902
Pu I F
4 6 2
direct
0.896 0.326 0.881
0.104 0.674 0.119
0.646 0.074 0.635
0.354 0.926 0.365
0.096 0.000 0.809
0.904 0.000 0.191
0.721 0.647 0.910
0.279 0.353 0.090
0.879 0.765 0.478
0.121 0.235 0.522
0.461 0.298 0.781
0.539 0.702 0.219
```

Calculated values
Total magnetization: 12.0 μB/f.u.
Formation energy (no corrections): -9.37 eV per formula unit
VASP energy: -89.1 eV for the cell shown
Crystal system: monoclinic

---

[10]
DFT (PBE-GGA) results for an optimized crystal structure of PuIF3.

```
PuIF3
1.0
-5.308 -1.062 0.770
1.537 -3.708 5.517
-0.543 5.508 3.857
Pu I F
2 2 6
direct
0.158 0.671 0.701
0.657 0.682 0.201
0.417 0.293 0.701
0.917 0.060 0.201
0.465 0.429 0.201
0.419 0.771 0.941
0.919 0.582 0.441
0.965 0.924 0.701
0.919 0.582 0.961
0.419 0.771 0.461
```

Calculated values
Total magnetization: 4.0 μB/f.u.
Formation energy (no corrections): -13.78 eV per formula unit
VASP energy: -70.5 eV for the cell shown
Crystal system: monoclinic

---

[11]
DFT (PBE-GGA) results for an optimized crystal structure of Pu2I3F2.

```
Pu2I3F2
1.0
-2.533 5.688 3.727
-7.295 -1.591 -2.530
-2.139 -8.493 11.507
Pu I F
8 12 8
direct
0.538 0.250 0.000
0.462 0.750 0.500
0.462 0.750 0.000
0.538 0.250 0.500
0.804 0.454 0.250
0.196 0.546 0.750
0.196 0.954 0.250
0.804 0.046 0.750
0.090 0.647 0.116
0.910 0.353 0.616
0.910 0.147 0.384
0.090 0.853 0.884
0.910 0.353 0.884
0.090 0.647 0.384
0.090 0.853 0.616
0.910 0.147 0.116
0.405 0.302 0.250
0.595 0.698 0.750
0.595 0.802 0.250
0.405 0.198 0.750
0.619 0.514 0.072
0.381 0.486 0.572
0.381 0.014 0.428
0.619 0.986 0.928
0.381 0.486 0.928
0.619 0.514 0.428
0.619 0.986 0.572
0.381 0.014 0.072
```

Calculated values
Total magnetization: 11.0 μB/f.u.
Formation energy (no corrections): -13.64 eV per formula unit
VASP energy: -202.8 eV for the cell shown
Crystal system: orthorhombic

---

[12]
DFT (PBE-GGA) results for an optimized crystal structure of Rb2PuI4F2.

```
Rb2PuI4F2
1.0
6.447 0.060 0.041
1.527 7.671 -0.049
1.527 2.771 7.153
Rb Pu I F
2 1 4 2
direct
0.159 0.683 0.683
0.841 0.317 0.317
0.500 0.000 0.000
0.299 0.641 0.156
0.701 0.844 0.359
0.701 0.359 0.844
0.299 0.156 0.641
0.237 0.132 0.132
0.763 0.868 0.868
```

Calculated values
Total magnetization: 4.0 μB/f.u.
Formation energy (no corrections): -16.58 eV per formula unit
VASP energy: -42.8 eV for the cell shown
Crystal system: monoclinic